{
  "formula": "CeTiNi2",
  "functional": "PBE",
  "state": "optimized geometry",
  "cell": [[-1.148, 2.195, 1.566], [-0.680, -0.411, 2.821], [7.380, 3.135, 3.759]],
  "species": ["Ni", "Ce", "Ni", "Ti"],
  "frac_coords": [[0.737, 0.737, 0.790], [0.500, 0.500, 0.500], [0.263, 0.263, 0.210], [0.000, 0.000, 0.000]],
  "dos_ef_per_ev_cell": 5.6,
  "total_energy_ev_per_atom": -6.344,
  "crystal_system": "trigonal",
  "formation_enthalpy_0k_ev_per_atom": 0.00
}